Record 1
AgP: optimized geometry, PBE.

Values from the calculation:
The formation energy is 0.235 eV per atom. Its symmetry is Cm, No. 8. As for the offset from the most stable computed form: 0.1192 eV/atom.

```
AgP
1.0
-3.8468 0.5516 4.9010
-1.4075 -0.7613 6.0466
0.2033 5.3437 5.6912
Ag P
3 3
direct
0.7221 0.7221 0.2211
0.5825 0.5825 0.6743
0.3580 0.3580 0.3723
0.8851 0.8851 0.6527
0.2495 0.2495 0.9126
0.0361 0.0361 0.0004
```

---

Record 2
AgP: optimized geometry, PBE.

Values from the calculation:
The formation energy is 0.224 eV per atom. Its symmetry is C2/m, No. 12. As for the offset from the most stable computed form: 0.1086 eV/atom.

```
AgP
1.0
5.9395 -0.0502 0.0002
5.1784 2.9094 0.0002
0.7242 0.1862 4.1322
P Ag
2 2
direct
0.2757 0.2757 0.4957
0.4743 0.4743 0.4210
0.7390 0.7390 0.0137
0.0110 0.0110 0.9030
```

---

Record 3
Ag7P6: optimized geometry, PBE.

Values from the calculation:
The formation energy is 0.393 eV per atom. Its symmetry is R-3m, No. 166.

```
Ag7P6
1.0
9.0407 -0.0113 -0.0071
6.9644 5.7648 -0.0071
6.9644 2.5035 5.1928
Ag P
7 6
direct
0.5000 0.5000 0.5000
0.9092 0.4336 0.4336
0.5664 0.5664 0.0908
0.4336 0.9092 0.4336
0.4336 0.4336 0.9092
0.5664 0.0908 0.5664
0.0908 0.5664 0.5664
0.3318 0.3318 0.3318
0.8908 0.8908 0.8908
0.1092 0.1092 0.1092
0.8086 0.8086 0.8086
0.6682 0.6682 0.6682
0.1914 0.1914 0.1914
```

---

Record 4
AgP: optimized geometry, PBE.

Values from the calculation:
The formation energy is 0.493 eV per atom. Its symmetry is P-6m2, No. 187. As for the offset from the most stable computed form: 0.3772 eV/atom.

```
AgP
1.0
2.9580 0.0000 0.0000
-1.4790 2.5617 0.0000
0.0000 0.0000 4.4770
P Ag
1 1
direct
0.6667 0.3333 0.5000
0.0000 0.0000 0.0000
```

---

Record 5
Ag3P4: optimized geometry, PBE.

Values from the calculation:
The formation energy is 0.368 eV per atom. Its symmetry is I4/mmm, No. 139. As for the offset from the most stable computed form: 0.0000 eV/atom.

```
Ag3P4
1.0
-6.3358 4.8075 9.5481
-9.4578 2.1880 7.7578
8.5677 -5.1808 -7.3604
P Ag
4 3
direct
0.4126 0.4126 0.0000
0.8788 0.8788 0.0000
0.5874 0.5874 0.0000
0.1212 0.1212 0.0000
0.0000 0.0000 0.0000
0.7119 0.7119 0.0000
0.2881 0.2881 0.0000
```

---

Record 6
Ag8P: optimized geometry, PBE.

Values from the calculation:
The formation energy is 0.117 eV per atom. Its symmetry is I4/mmm, No. 139.

```
Ag8P
1.0
-4.1668 2.7761 -4.1902
2.9447 -5.6353 1.4829
-4.1178 -0.0646 5.0661
Ag P
8 1
direct
0.3315 0.0000 0.3315
0.3347 0.6653 0.0000
0.6685 0.0000 0.6685
0.0000 0.3315 0.3315
0.0000 0.6685 0.6685
0.6653 0.3347 0.0000
0.6653 0.6653 0.3305
0.3347 0.3347 0.6695
0.0000 0.0000 0.0000
```

---

Record 7
AgP: optimized geometry, PBE.

Values from the calculation:
The formation energy is 0.116 eV per atom. Its symmetry is P2_1/m, No. 11. As for the offset from the most stable computed form: 0.0000 eV/atom.

```
AgP
1.0
3.3006 0.0000 0.0000
0.0000 6.0099 -0.0113
0.0000 -2.6145 3.9499
Ag P
2 2
direct
0.7500 0.2968 0.7218
0.2500 0.7032 0.2782
0.2500 0.8514 0.8794
0.7500 0.1486 0.1206
```

---

Record 8
AgP: optimized geometry, PBE.

Values from the calculation:
The formation energy is 0.482 eV per atom. Its symmetry is P4/nmm, No. 129. As for the offset from the most stable computed form: 0.3665 eV/atom.

```
AgP
1.0
-0.4933 -3.6944 0.8405
0.0320 -0.8517 -3.7246
4.7025 -0.5881 0.1748
Ag P
2 2
direct
0.2500 0.7500 0.0000
0.7500 0.2500 0.0000
0.2500 0.2500 0.4426
0.7500 0.7500 0.5574
```

---

Record 9
AgP: optimized geometry, PBE.

Values from the calculation:
The formation energy is 0.613 eV per atom. Its symmetry is P4_2/mnm, No. 136. As for the offset from the most stable computed form: 0.4973 eV/atom.

```
AgP
1.0
6.6540 0.0000 0.0000
0.0000 6.6540 0.0000
0.0000 0.0000 4.1506
P Ag
4 4
direct
0.7906 0.7906 0.5000
0.2094 0.2094 0.5000
0.7094 0.2905 0.0000
0.2905 0.7094 0.0000
0.8430 0.1570 0.5000
0.1570 0.8430 0.5000
0.3430 0.3430 0.0000
0.6570 0.6570 0.0000
```

---

Record 10
AgP: optimized geometry, PBE.

Values from the calculation:
The formation energy is 0.519 eV per atom. Its symmetry is P2_13, No. 198. As for the offset from the most stable computed form: 0.4038 eV/atom.

```
AgP
1.0
5.1777 0.0000 0.0000
0.0000 5.1777 0.0000
0.0000 0.0000 5.1777
Ag P
4 4
direct
0.5850 0.9150 0.0850
0.0850 0.5850 0.9150
0.9150 0.0850 0.5850
0.4150 0.4150 0.4150
0.6018 0.3982 0.8982
0.1018 0.1018 0.1018
0.3982 0.8982 0.6018
0.8982 0.6018 0.3982
```

---

Record 11
AgP: optimized geometry, PBE.

Values from the calculation:
The formation energy is 0.648 eV per atom. Its symmetry is Pm-3n, No. 223. As for the offset from the most stable computed form: 0.5329 eV/atom.

```
AgP
1.0
-4.7859 -3.8741 3.1655
4.9430 -4.3374 2.1651
0.7716 3.7567 5.7642
Ag P
6 6
direct
0.0000 0.7500 0.5000
0.0000 0.2500 0.5000
0.7500 0.5000 0.0000
0.5000 0.0000 0.2500
0.5000 0.0000 0.7500
0.2500 0.5000 0.0000
0.0000 0.5000 0.7500
0.5000 0.7500 0.0000
0.7500 0.0000 0.5000
0.0000 0.5000 0.2500
0.2500 0.0000 0.5000
0.5000 0.2500 0.0000
```

---

Record 12
AgP: optimized geometry, PBE.

Values from the calculation:
The formation energy is 0.209 eV per atom. Its symmetry is P6_3/m, No. 176. As for the offset from the most stable computed form: 0.0938 eV/atom.

```
AgP
1.0
-2.1114 10.4067 0.7620
-7.2145 -6.6009 -4.2089
-1.2776 -0.4740 2.9333
P Ag
6 6
direct
0.4226 0.9889 0.7500
0.4336 0.4226 0.2500
0.5664 0.5774 0.7500
0.0111 0.4336 0.7500
0.5774 0.0111 0.2500
0.9889 0.5664 0.2500
0.2222 0.7380 0.7500
0.4843 0.2222 0.2500
0.7778 0.2620 0.2500
0.5157 0.7778 0.7500
0.2620 0.4843 0.7500
0.7380 0.5157 0.2500
```